[1]
DFT (PBE-GGA) results for crystalline DyZnInTe3 at its relaxed geometry.

Values from the calculation:
energy above the most stable polymorph in this dataset	110	meV/atom

Unit cell a=9.0003 b=4.6051 c=17.6094 alpha=90.00 beta=90.00 gamma=90.00
Atoms (fractional coordinates):
Dy1 0.7533 0.2500 0.0441
Dy2 0.2533 0.2500 0.4559
Dy3 0.7467 0.7500 0.5441
Dy4 0.2467 0.7500 0.9559
In1 0.0724 0.7500 0.2170
In2 0.5724 0.7500 0.2830
In3 0.4276 0.2500 0.7170
In4 0.9276 0.2500 0.7830
Te1 0.1236 0.2500 0.0539
Te2 0.5013 0.7500 0.0891
Te3 0.8058 0.2500 0.2117
Te4 0.3058 0.2500 0.2883
Te5 0.0013 0.7500 0.4109
Te6 0.6236 0.2500 0.4461
Te7 0.3764 0.7500 0.5539
Te8 0.9987 0.2500 0.5891
Te9 0.6942 0.7500 0.7117
Te10 0.1942 0.7500 0.7883
Te11 0.4987 0.2500 0.9109
Te12 0.8764 0.7500 0.9461
Zn1 0.3659 0.2500 0.1421
Zn2 0.8659 0.2500 0.3579
Zn3 0.1341 0.7500 0.6421
Zn4 0.6341 0.7500 0.8579

***

[2]
DFT (PBE-GGA) results for crystalline DyZnInTe3 at its relaxed geometry.

Values from the calculation:
energy above the most stable polymorph in this dataset	1	meV/atom

Unit cell a=7.9510 b=7.9510 c=11.4992 alpha=90.00 beta=90.00 gamma=31.61
Atoms (fractional coordinates):
Dy1 0.0000 0.0000 0.0000
Dy2 0.0000 0.0000 0.5000
In1 0.7565 0.7565 0.2500
In2 0.2435 0.2435 0.7500
Te1 0.3632 0.3632 0.0610
Te2 0.0750 0.0750 0.2500
Te3 0.3632 0.3632 0.4390
Te4 0.6368 0.6368 0.5610
Te5 0.9250 0.9250 0.7500
Te6 0.6368 0.6368 0.9390
Zn1 0.4643 0.4643 0.2500
Zn2 0.5357 0.5357 0.7500

***

[3]
DFT (PBE-GGA) results for crystalline DyZnInTe3 at its relaxed geometry.

Values from the calculation:
energy above the most stable polymorph in this dataset	122	meV/atom

Unit cell a=9.9244 b=9.9244 c=9.2427 alpha=102.29 beta=102.29 gamma=25.20
Atoms (fractional coordinates):
Dy1 0.1713 0.1713 0.0818
Dy2 0.8287 0.8287 0.9182
In1 0.8680 0.8680 0.4282
In2 0.1320 0.1320 0.5718
Te1 0.0000 0.0000 0.0000
Te2 0.3322 0.3322 0.1507
Te3 0.6780 0.6780 0.3202
Te4 0.5000 0.5000 0.5000
Te5 0.3220 0.3220 0.6798
Te6 0.6678 0.6678 0.8493
Zn1 0.5355 0.5355 0.2213
Zn2 0.4645 0.4645 0.7787

***

[4]
DFT (PBE-GGA) results for crystalline DyZnInTe3 at its relaxed geometry.

Values from the calculation:
energy above the most stable polymorph in this dataset	16	meV/atom

Unit cell a=15.5683 b=4.3512 c=11.6940 alpha=90.00 beta=90.00 gamma=90.00
Atoms (fractional coordinates):
Dy1 0.0242 0.2500 0.1594
Dy2 0.5242 0.2500 0.3406
Dy3 0.4758 0.7500 0.6594
Dy4 0.9758 0.7500 0.8406
In1 0.7406 0.2500 0.0385
In2 0.2406 0.2500 0.4615
In3 0.7594 0.7500 0.5385
In4 0.2594 0.7500 0.9615
Te1 0.8965 0.7500 0.0788
Te2 0.4111 0.2500 0.1146
Te3 0.6472 0.7500 0.2499
Te4 0.1472 0.7500 0.2501
Te5 0.9111 0.2500 0.3854
Te6 0.3965 0.7500 0.4212
Te7 0.6035 0.2500 0.5788
Te8 0.0889 0.7500 0.6146
Te9 0.8528 0.2500 0.7499
Te10 0.3528 0.2500 0.7501
Te11 0.5889 0.7500 0.8854
Te12 0.1035 0.2500 0.9212
Zn1 0.5169 0.7500 0.1003
Zn2 0.0169 0.7500 0.3997
Zn3 0.9831 0.2500 0.6003
Zn4 0.4831 0.2500 0.8997

***

[5]
DFT (PBE-GGA) results for crystalline DyZnInTe3 at its relaxed geometry.

Values from the calculation:
energy above the most stable polymorph in this dataset	0	meV/atom

Unit cell a=11.5395 b=4.3343 c=15.3072 alpha=90.00 beta=90.00 gamma=90.00
Atoms (fractional coordinates):
Dy1 0.4850 0.2500 0.2452
Dy2 0.9850 0.2500 0.2548
Dy3 0.0150 0.7500 0.7452
Dy4 0.5150 0.7500 0.7548
In1 0.2253 0.2500 0.0072
In2 0.7253 0.2500 0.4928
In3 0.2747 0.7500 0.5072
In4 0.7747 0.7500 0.9928
Te1 0.4219 0.7500 0.1099
Te2 0.0469 0.7500 0.1180
Te3 0.7378 0.2500 0.1739
Te4 0.2378 0.2500 0.3261
Te5 0.5469 0.7500 0.3820
Te6 0.9219 0.7500 0.3901
Te7 0.0781 0.2500 0.6099
Te8 0.4531 0.2500 0.6180
Te9 0.7622 0.7500 0.6739
Te10 0.2622 0.7500 0.8261
Te11 0.9531 0.2500 0.8820
Te12 0.5781 0.2500 0.8901
Zn1 0.2392 0.7500 0.2160
Zn2 0.7392 0.7500 0.2840
Zn3 0.2608 0.2500 0.7160
Zn4 0.7608 0.2500 0.7840

***

[6]
DFT (PBE-GGA) results for crystalline DyZnInTe3 at its relaxed geometry.

Values from the calculation:
energy above the most stable polymorph in this dataset	59	meV/atom

Unit cell a=12.5325 b=4.4918 c=13.0741 alpha=90.00 beta=90.00 gamma=90.00
Atoms (fractional coordinates):
Dy1 0.4756 0.7500 0.1829
Dy2 0.9756 0.7500 0.3171
Dy3 0.0244 0.2500 0.6829
Dy4 0.5244 0.2500 0.8171
In1 0.8194 0.7500 0.0064
In2 0.3194 0.7500 0.4936
In3 0.6806 0.2500 0.5064
In4 0.1806 0.2500 0.9936
Te1 0.5975 0.2500 0.0632
Te2 0.9634 0.2500 0.1493
Te3 0.2245 0.7500 0.1879
Te4 0.7245 0.7500 0.3121
Te5 0.4634 0.2500 0.3507
Te6 0.0975 0.2500 0.4368
Te7 0.9025 0.7500 0.5632
Te8 0.5366 0.7500 0.6493
Te9 0.2755 0.2500 0.6879
Te10 0.7755 0.2500 0.8121
Te11 0.0366 0.7500 0.8507
Te12 0.4025 0.7500 0.9368
Zn1 0.7571 0.2500 0.1989
Zn2 0.2571 0.2500 0.3011
Zn3 0.7429 0.7500 0.6989
Zn4 0.2429 0.7500 0.8011

***

[7]
DFT (PBE-GGA) results for crystalline Dy5TlIn3 at its relaxed geometry.

Values from the calculation:
E	-4.1422	eV/atom

Unit cell a=9.3075 b=9.3075 c=6.6468 alpha=90.00 beta=90.00 gamma=120.00
Atoms (fractional coordinates):
Dy1 0.6667 0.3333 0.0000
Dy2 0.3333 0.6667 0.0000
Dy3 0.7079 0.0000 0.2500
Dy4 0.2921 0.2921 0.2500
Dy5 0.0000 0.7079 0.2500
Dy6 0.6667 0.3333 0.5000
Dy7 0.3333 0.6667 0.5000
Dy8 0.2921 0.0000 0.7500
Dy9 0.0000 0.2921 0.7500
Dy10 0.7079 0.7079 0.7500
In1 0.3715 0.0000 0.2500
In2 0.0000 0.3715 0.2500
In3 0.6285 0.6285 0.2500
In4 0.6285 0.0000 0.7500
In5 0.3715 0.3715 0.7500
In6 0.0000 0.6285 0.7500
Tl1 0.0000 0.0000 0.0000
Tl2 0.0000 0.0000 0.5000

***

[8]
DFT (PBE-GGA) results for crystalline Dy2TlIn at its relaxed geometry.

Values from the calculation:
E	-3.9746	eV/atom

Unit cell a=3.7541 b=3.7541 c=7.5826 alpha=90.00 beta=90.00 gamma=90.00
Atoms (fractional coordinates):
Dy1 0.5000 0.5000 0.2476
Dy2 0.5000 0.5000 0.7524
In1 0.0000 0.0000 0.0000
Tl1 0.0000 0.0000 0.5000

***

[9]
DFT (PBE-GGA) results for crystalline Dy2Tl3In at its relaxed geometry.

Values from the calculation:
energy above the most stable polymorph in this dataset	0	meV/atom

Unit cell a=7.6775 b=7.6775 c=4.6576 alpha=90.00 beta=90.00 gamma=144.66
Atoms (fractional coordinates):
Dy1 0.8459 0.1541 0.0000
Dy2 0.1541 0.8459 0.0000
In1 0.0000 0.0000 0.5000
Tl1 0.5000 0.5000 0.0000
Tl2 0.6748 0.3252 0.5000
Tl3 0.3252 0.6748 0.5000

***

[10]
DFT (PBE-GGA) results for crystalline Dy2Tm2In at its relaxed geometry.

Values from the calculation:
E	-4.1698	eV/atom

Unit cell a=8.0711 b=8.0711 c=4.5929 alpha=90.00 beta=90.00 gamma=90.00
Atoms (fractional coordinates):
Dy1 0.3475 0.1525 0.5000
Dy2 0.8475 0.3475 0.5000
Dy3 0.1525 0.6525 0.5000
Dy4 0.6525 0.8475 0.5000
In1 0.0000 0.0000 0.0000
In2 0.5000 0.5000 0.0000
Tm1 0.6476 0.1476 0.0000
Tm2 0.1476 0.3524 0.0000
Tm3 0.8524 0.6476 0.0000
Tm4 0.3524 0.8524 0.0000

***

[11]
DFT (PBE-GGA) results for crystalline DyTm2In at its relaxed geometry.

Values from the calculation:
E	-4.3318	eV/atom

Unit cell a=4.7884 b=4.7884 c=4.8043 alpha=90.00 beta=90.00 gamma=90.00
Atoms (fractional coordinates):
Dy1 0.5000 0.5000 0.0000
In1 0.0000 0.0000 0.0000
Tm1 0.5000 0.0000 0.5000
Tm2 0.0000 0.5000 0.5000

***

[12]
DFT (PBE-GGA) results for crystalline DyTmIn4 at its relaxed geometry.

Values from the calculation:
E	-3.7565	eV/atom

Unit cell a=4.6296 b=7.4398 c=7.4398 alpha=35.95 beta=90.00 gamma=90.00
Atoms (fractional coordinates):
Dy1 0.0000 0.6555 0.6555
In1 0.5000 0.1760 0.1760
In2 0.5000 0.4992 0.4992
In3 0.5000 0.8251 0.8251
In4 0.0000 0.9994 0.9994
Tm1 0.0000 0.3449 0.3449

***

[13]
DFT (PBE-GGA) results for crystalline DyTmIn2 at its relaxed geometry.

Values from the calculation:
E	-4.0406	eV/atom

Unit cell a=4.2806 b=6.1229 c=6.1229 alpha=43.39 beta=90.00 gamma=90.00
Atoms (fractional coordinates):
Dy1 0.0000 0.3619 0.3619
In1 0.0000 0.0874 0.0874
In2 0.5000 0.9130 0.9130
Tm1 0.5000 0.6377 0.6377

***

[14]
DFT (PBE-GGA) results for crystalline Dy3TmIn2 at its relaxed geometry.

Values from the calculation:
E	-4.3097	eV/atom

Unit cell a=5.3656 b=5.3656 c=6.6974 alpha=90.00 beta=90.00 gamma=120.00
Atoms (fractional coordinates):
Dy1 0.3333 0.6667 0.0000
Dy2 0.6667 0.3333 0.2513
Dy3 0.6667 0.3333 0.7487
In1 0.0000 0.0000 0.0000
In2 0.3333 0.6667 0.5000
Tm1 0.0000 0.0000 0.5000

***

[15]
DFT (PBE-GGA) results for crystalline Dy2TmIn at its relaxed geometry.

Values from the calculation:
E	-4.3680	eV/atom

Unit cell a=4.8037 b=4.8037 c=4.8245 alpha=90.00 beta=90.00 gamma=90.00
Atoms (fractional coordinates):
Dy1 0.5000 0.0000 0.5000
Dy2 0.0000 0.5000 0.5000
In1 0.0000 0.0000 0.0000
Tm1 0.5000 0.5000 0.0000

***

[16]
DFT (PBE-GGA) results for crystalline DyTm2In3 at its relaxed geometry.

Values from the calculation:
E	-4.0673	eV/atom

Unit cell a=3.4884 b=3.4884 c=12.7005 alpha=90.00 beta=90.00 gamma=90.00
Atoms (fractional coordinates):
Dy1 0.5000 0.5000 0.5000
In1 0.0000 0.0000 0.0000
In2 0.0000 0.0000 0.3308
In3 0.0000 0.0000 0.6692
Tm1 0.5000 0.5000 0.1653
Tm2 0.5000 0.5000 0.8347

***

[17]
DFT (PBE-GGA) results for crystalline DyTmIn5 at its relaxed geometry.

Values from the calculation:
E	-3.5540	eV/atom

Unit cell a=4.6132 b=4.6132 c=8.7311 alpha=90.00 beta=90.00 gamma=90.00
Atoms (fractional coordinates):
Dy1 0.0000 0.0000 0.0000
In1 0.5000 0.5000 0.0000
In2 0.5000 0.0000 0.2643
In3 0.0000 0.5000 0.2643
In4 0.5000 0.0000 0.7357
In5 0.0000 0.5000 0.7357
Tm1 0.0000 0.0000 0.5000

***

[18]
DFT (PBE-GGA) results for crystalline Dy2YTmIn4 at its relaxed geometry.

Values from the calculation:
E	-4.3135	eV/atom

Unit cell a=7.0221 b=7.3404 c=7.3404 alpha=35.97 beta=90.00 gamma=90.00
Atoms (fractional coordinates):
Dy1 0.5000 0.2761 0.2761
Dy2 0.0000 0.7240 0.7240
In1 0.2085 0.1039 0.1039
In2 0.7915 0.1039 0.1039
In3 0.2933 0.8962 0.8962
In4 0.7067 0.8962 0.8962
Tm1 0.5000 0.5475 0.5475
Y1 0.0000 0.4520 0.4520

***

[19]
DFT (PBE-GGA) results for crystalline DyYIn4 at its relaxed geometry.

Values from the calculation:
E	-4.1191	eV/atom

Unit cell a=4.6546 b=7.5103 c=7.5103 alpha=35.85 beta=90.00 gamma=90.00
Atoms (fractional coordinates):
Dy1 0.0000 0.1544 0.1544
In1 0.5000 0.0002 0.0002
In2 0.5000 0.3239 0.3239
In3 0.0000 0.5003 0.5003
In4 0.5000 0.6758 0.6758
Y1 0.0000 0.8453 0.8453

***

[20]
DFT (PBE-GGA) results for crystalline DyY4In3 at its relaxed geometry.

Values from the calculation:
E	-4.8571	eV/atom

Unit cell a=6.8613 b=6.8613 c=6.8613 alpha=103.48 beta=103.48 gamma=122.27
Atoms (fractional coordinates):
Dy1 0.0000 0.0000 0.0000
In1 0.5000 0.5000 0.0000
In2 0.7500 0.2500 0.5000
In3 0.2500 0.7500 0.5000
Y1 0.8798 0.4038 0.0000
Y2 0.4038 0.8798 0.0000
Y3 0.5962 0.5962 0.4760
Y4 0.1202 0.1202 0.5240